(1)
Below is a geometry-optimized PrDy2Tl3Te6 structure, with properties calculated at the PBE level.

```
data_PrDy2Tl3Te6
_chemical_formula_sum 'Pr2 Dy4 Tl6 Te12'
_cell_length_a 7.799
_cell_length_b 13.504
_cell_length_c 8.585
_cell_angle_alpha 90.00
_cell_angle_beta 107.64
_cell_angle_gamma 90.00
_space_group_name_H-M_alt 'C 1 2/m 1'
_space_group_IT_number 12
loop_
_space_group_symop_operation_xyz
'x,y,z'
'-x,-y,-z'
'-x,y,-z'
'x,-y,z'
'x+1/2,y+1/2,z'
'-x+1/2,-y+1/2,-z'
'-x+1/2,y+1/2,-z'
'x+1/2,-y+1/2,z'
loop_
_atom_site_label
_atom_site_type_symbol
_atom_site_fract_x
_atom_site_fract_y
_atom_site_fract_z
Pr1 Pr 0.000 0.000 0.000
Dy1 Dy 0.000 0.333 0.000
Tl1 Tl 0.000 0.164 0.500
Tl2 Tl 0.000 0.500 0.500
Te1 Te 0.229 0.500 0.214
Te2 Te 0.244 0.171 0.217
```

- DFT total energy (eV per atom) = -4.39
- density (Mg/m³) = 7.110
- uncorrected formation energy (eV per formula unit) = -12.7

---

(2)
Below is a geometry-optimized Er4GeSe2S structure, with properties calculated at the PBE level.

```
data_Er4GeSe2S
_chemical_formula_sum 'Er4 Ge1 Se2 S1'
_cell_length_a 6.926
_cell_length_b 4.022
_cell_length_c 7.039
_cell_angle_alpha 90.00
_cell_angle_beta 109.44
_cell_angle_gamma 90.00
_space_group_name_H-M_alt 'P 1 2/m 1'
_space_group_IT_number 10
loop_
_space_group_symop_operation_xyz
'x,y,z'
'-x,-y,-z'
'-x,y,-z'
'x,-y,z'
loop_
_atom_site_label
_atom_site_type_symbol
_atom_site_fract_x
_atom_site_fract_y
_atom_site_fract_z
Er1 Er 0.244 0.000 0.231
Er2 Er 0.256 0.500 0.765
Ge1 Ge 0.500 0.000 0.000
Se1 Se 0.000 0.000 0.500
Se2 Se 0.500 0.500 0.500
S1 S 0.000 0.500 0.000
```

- DFT total energy (eV per atom) = -5.88
- density (Mg/m³) = 8.367
- uncorrected formation energy (eV per formula unit) = -13.1